[1]
VASP calculation (GGA-PBE) on a relaxed structure of TbPm2Th3Te6.

```
TbPm2Th3Te6
1.0
9.9572 -2.1747 0.0000
9.9572 2.1747 0.0000
-2.9802 0.0000 8.6185
Tb Pm Th Te
1 2 3 6
Cartesian
0.0000 0.0000 0.0000
4.6475 0.0000 5.7410
12.2867 0.0000 2.8774
-1.4901 0.0000 4.3092
6.1049 0.0000 1.4196
10.8293 0.0000 7.1989
2.9890 0.0000 0.7293
1.6095 0.0000 5.0062
9.2377 0.0000 2.0851
7.6964 0.0000 6.5334
15.3247 0.0000 3.6123
13.9452 0.0000 7.8892
```

For the formation energy from raw total energies, the calculation gives -1.180 eV/atom.

=====

[2]
VASP calculation (GGA-PBE) on a relaxed structure of HfCd2Cu.

```
HfCd2Cu
1.0
1.5281 0.8822 9.6096
-1.5281 0.8822 9.6096
0.0000 -1.7644 9.6096
Hf Cd Cu
1 2 1
Cartesian
0.0000 0.0000 0.0000
0.0000 0.0000 6.9768
0.0000 0.0000 12.2475
0.0000 0.0000 24.0194
```

The formation energy comes out at 0.131 eV/atom.

=====

[3]
VASP calculation (GGA-PBE) on a relaxed structure of TiNb4Ga2.

```
TiNb4Ga2
1.0
7.1077 0.0000 0.0000
0.0000 5.4384 0.0000
-3.2242 0.0000 6.3779
Ti Nb Ga
2 8 4
Cartesian
0.4585 1.3596 1.5833
3.4250 4.0788 4.7945
-1.6063 1.3596 3.3586
-1.0083 2.7261 5.9159
-1.0083 5.4314 5.9159
0.8458 4.0788 3.8965
3.0377 1.3596 2.4813
4.8917 0.0069 0.4620
4.8917 2.7123 0.4620
5.4897 4.0788 3.0192
0.2364 4.0788 1.0584
1.0101 1.3596 4.3956
2.8734 4.0788 1.9822
3.6470 1.3596 5.3195
```

The formation energy comes out at -0.093 eV/atom.

=====

[4]
VASP calculation (GGA-PBE) on a relaxed structure of CsHfOF2.

```
CsHfOF2
1.0
4.5473 0.0000 0.0000
0.0000 4.5473 0.0000
0.0000 0.0000 4.1137
Cs Hf O F
1 1 1 2
Cartesian
0.0000 0.0000 0.0000
2.2737 2.2737 2.0569
2.2737 2.2737 0.0000
0.0000 2.2737 2.0569
2.2737 0.0000 2.0569
```

For the formation energy from raw total energies, the calculation gives -2.719 eV/atom.

=====

[5]
VASP calculation (GGA-PBE) on a relaxed structure of Ca3Cu4Sn4.

```
Ca3Cu4Sn4
1.0
13.1126 -2.0598 0.0000
13.1126 2.0598 0.0000
-0.4874 0.0000 4.6813
Ca Cu Sn
3 4 4
Cartesian
0.0000 0.0000 0.0000
3.7087 0.0000 2.8724
22.0291 0.0000 1.8089
6.5216 0.0000 1.6322
10.0652 0.0000 4.4093
15.6725 0.0000 0.2721
19.2161 0.0000 3.0491
7.4418 0.0000 4.1015
11.4349 0.0000 2.1900
14.3029 0.0000 2.4913
18.2959 0.0000 0.5798
```

The formation energy comes out at -0.352 eV/atom.

=====

[6]
VASP calculation (GGA-PBE) on a relaxed structure of Y4GaH.

```
Y4GaH
1.0
4.9348 0.0000 0.0000
0.0000 8.3614 0.0000
0.0000 0.0000 7.0874
Y Ga H
8 2 2
Cartesian
1.2337 0.4298 1.4464
1.2337 2.0904 5.3340
1.2337 3.7509 1.4464
1.2337 6.2711 3.9710
3.7011 2.0904 3.1164
3.7011 4.6105 5.6410
3.7011 6.2711 1.7534
3.7011 7.9316 5.6410
1.2337 6.2711 6.8549
3.7011 2.0904 0.2325
1.2337 2.0904 2.9626
3.7011 6.2711 4.1248
```

=====

Total energy values (in eV per atom) by entry order: -5.784; -3.839; -7.840; -6.621; -3.843; -5.671.